CaCrSbO6 after structural relaxation. Source: Alexandria, functional GGA+U.

a = 4.8028 Å, b = 4.8028 Å, c = 9.5792 Å
α = 90.00°, β = 90.00°, γ = 90.00°
With the nearest neighbours (Å) after each atom.
Sites, in units of the cell vectors:
1 Ca 0.5000 0.5000 0.4948  6 O 2.21-2.41
2 Ca 0.0000 0.0000 0.9948  6 O 2.21-2.41
3 O 0.2718 0.2718 0.6871  1 Cr 1.87
4 O 0.7718 0.2282 0.1871  1 Cr 1.87
5 O 0.7282 0.7282 0.6871  1 Cr 1.87
6 O 0.6750 0.6750 0.0070  1 Cr 1.88, 1 Sb 2.03
7 O 0.3250 0.3250 0.0070  1 Cr 1.88, 1 Sb 2.03
8 O 0.1750 0.8250 0.5070  1 Cr 1.88, 1 Sb 2.03
9 O 0.7863 0.2137 0.8117  1 Sb 1.96, 1 Cr 2.06
10 O 0.8250 0.1750 0.5070  1 Cr 1.88, 1 Sb 2.03
11 O 0.2863 0.2863 0.3117  1 Sb 1.96, 1 Cr 2.06
12 O 0.2137 0.7863 0.8117  1 Sb 1.96, 1 Cr 2.06
13 O 0.7137 0.7137 0.3117  1 Sb 1.96, 1 Cr 2.06
14 O 0.2282 0.7718 0.1871  1 Cr 1.87
15 Sb 0.5000 0.5000 0.8347  6 O 1.96-2.10
16 Sb 0.0000 0.0000 0.3347  6 O 1.96-2.10
17 Cr 0.5000 0.5000 0.1590  6 O 1.87-2.06
18 Cr 0.0000 0.0000 0.6590  6 O 1.87-2.06

Properties
uncorrected energy: -6.45 eV/atom